[1]
Compound: PuCd2In2
Source: Alexandria
Functional: PBE-GGA
Structure: relaxed

* energy of formation: 0 meV/atom
* crystal system: monoclinic
* N(E_F): 1.95 states/eV/atom

```
data_PuCd2In2
_cell_length_a 10.526
_cell_length_b 3.059
_cell_length_c 8.167
_cell_angle_alpha 90.00
_cell_angle_beta 104.61
_cell_angle_gamma 90.00
_space_group_name_H-M_alt 'C 1 2/m 1'
_space_group_IT_number 12
loop_
_space_group_symop_operation_xyz
'x,y,z'
'-x,-y,-z'
'-x,y,-z'
'x,-y,z'
'x+1/2,y+1/2,z'
'-x+1/2,-y+1/2,-z'
'-x+1/2,y+1/2,-z'
'x+1/2,-y+1/2,z'
loop_
_atom_site_label
_atom_site_fract_x
_atom_site_fract_y
_atom_site_fract_z
Pu1 0.000 0.000 0.000
Cd1 0.190 0.500 0.788
In1 0.106 0.500 0.384
```

[2]
Compound: NdHg2Te
Source: Alexandria
Functional: PBE-GGA
Structure: relaxed

* distance to the lowest polymorph of the same formula: 0.000 eV/atom
* crystal system: tetragonal
* N(E_F): 0.46 states/eV/atom

```
data_NdHg2Te
_cell_length_a 4.537
_cell_length_b 4.537
_cell_length_c 5.434
_cell_angle_alpha 90.00
_cell_angle_beta 90.00
_cell_angle_gamma 90.00
_space_group_name_H-M_alt 'P 4/m m m'
_space_group_IT_number 123
_space_group_name_Hall '-P 4 2'
loop_
_atom_site_label
_atom_site_fract_x
_atom_site_fract_y
_atom_site_fract_z
Nd1 0.000 0.000 0.000
Hg1 0.000 0.500 0.500
Te1 0.500 0.500 0.000
```